# PBE ZrTiAu4, relaxed
# Mass density in g cm⁻³: 14.043
# DOS(E_F) in states/eV per cell: 2.92
# Final energy in eV per formula unit: -32.49
data_ZrTiAu4
_cell_length_a 3.5360
_cell_length_b 3.5360
_cell_length_c 8.7664
_cell_angle_alpha 90.00
_cell_angle_beta 90.00
_cell_angle_gamma 90.00
_symmetry_space_group_name_H-M 'P 1'
_symmetry_Int_Tables_number 1
_symmetry_space_group_name_Hall 'P 1'
loop_
_atom_site_label
_atom_site_type_symbol
_atom_site_fract_x
_atom_site_fract_y
_atom_site_fract_z
Zr1 Zr 0.0000 0.0000 0.0000
Ti1 Ti 0.5000 0.5000 0.5000
Au1 Au 0.0000 0.0000 0.3398
Au2 Au 0.0000 0.0000 0.6602
Au3 Au 0.5000 0.5000 0.1734
Au4 Au 0.5000 0.5000 0.8266